EuSiAg3, optimized geometry, DFT PBE; formation energy from raw total energies = -0.06 eV/atom; E = -4.906 eV per atom; DOS(E_F) = 13.096 states/eV per cell
1.0
4.895 0.000 0.000
0.000 4.895 0.000
0.000 0.000 4.895
Eu Si Ag
1 1 3
Cartesian
0.000 0.000 0.000
2.448 2.448 2.448
0.000 2.448 2.448
2.448 0.000 2.448
2.448 2.448 0.000

Er2ScAg3, optimized geometry, DFT PBE; ΔE to the lowest computed polymorph = 0.000 eV per formula unit; E = -4.313 eV per atom; DOS(E_F) = 2.739 states/eV per cell; energy of formation from the pure elements = -0.31 eV per atom
1.0
3.529 0.000 0.000
0.000 3.529 0.000
0.000 0.000 10.757
Er Sc Ag
2 1 3
Cartesian
0.000 0.000 1.850
0.000 0.000 8.907
0.000 0.000 5.378
1.764 1.764 0.000
1.764 1.764 3.737
1.764 1.764 7.019

Pr6PuHg5, optimized geometry, DFT PBE; E = -4.052 eV per atom; DOS(E_F) = 18.486 states/eV per cell; energy of formation from the pure elements = -0.34 eV per atom
1.0
8.620 -3.897 0.000
8.620 3.897 0.000
-1.730 0.000 5.190
Pr Pu Hg
6 1 5
Cartesian
5.151 1.960 1.723
8.620 2.039 0.000
10.359 1.960 3.467
5.151 -1.960 1.723
8.620 -2.039 0.000
10.359 -1.960 3.467
7.755 0.000 2.595
-0.865 0.000 2.595
2.609 0.000 0.873
4.451 0.000 4.373
11.059 0.000 0.817
12.901 0.000 4.317

CdHBr2, optimized geometry, DFT PBE; E = -2.102 eV per atom; DOS(E_F) = 1.431 states/eV per cell
1.0
4.141 0.000 0.000
2.066 3.917 0.000
2.045 -0.432 6.684
Cd H Br
1 1 2
Cartesian
0.000 0.000 0.000
4.125 1.742 3.340
4.109 0.889 4.835
4.142 2.601 1.835

What is the DOS(E_F) in the first record? 13.096 states/eV per cell

Which of these has the lowest DOS(E_F)? CdHBr2

What is the DOS(E_F) in the second record? 2.739 states/eV per cell

What is the formula in the fourth record? CdHBr2